Entry 1:
DFT (PBE with a Hubbard U) results for an optimized crystal structure of TiW3F.

Structure (POSCAR):
```
TiW3F
1.0
-1.6191 -3.2107 3.2579
-3.0912 -1.7793 -3.2897
3.3715 -3.1732 -1.4518
W F Ti
3 1 1
Cartesian
-0.8095 -1.6054 1.6289 W
1.6857 -1.5866 -0.7259 W
-1.5456 -0.8896 -1.6449 W
-0.6694 -4.0816 -0.7418 F
0.0000 0.0000 0.0000 Ti
```

Properties
For the total energy, the calculation gives -4.208 eV/atom. For the energy above the lowest structure with this stoichiometry, the calculation gives 944 meV per atom. The total magnetization comes out at 4.61 μB/f.u. The density of states at the Fermi level is 3.4 states/eV/f.u.

---

Entry 2:
DFT (PBE with a Hubbard U) results for an optimized crystal structure of TiWF2.

Structure (POSCAR):
```
TiWF2
1.0
-1.3498 -4.0702 0.1578
-0.9412 -1.8033 3.7783
-4.0800 -0.8699 1.0052
F W Ti
2 1 1
Cartesian
-4.7782 -5.0576 3.7059 F
-1.5927 -1.6859 1.2353 F
-3.1855 -3.3717 2.4706 W
0.0000 0.0000 0.0000 Ti
```

Properties
For the total energy, the calculation gives -4.870 eV/atom. For the energy above the lowest structure with this stoichiometry, the calculation gives 958 meV per atom. The total magnetization comes out at 1.68 μB/f.u. The density of states at the Fermi level is 2.4 states/eV/f.u.

---

Entry 3:
DFT (PBE with a Hubbard U) results for an optimized crystal structure of TiWF3.

Structure (POSCAR):
```
TiWF3
1.0
4.2728 0.0000 0.0000
0.0000 4.2728 0.0000
0.0000 0.0000 4.2728
F W Ti
3 1 1
Cartesian
0.0000 2.1364 0.0000 F
2.1364 0.0000 0.0000 F
0.0000 0.0000 2.1364 F
0.0000 0.0000 0.0000 W
2.1364 2.1364 2.1364 Ti
```

Properties
For the total energy, the calculation gives -5.186 eV/atom. The total magnetization comes out at 6.31 μB/f.u. The density of states at the Fermi level is 7.7 states/eV/f.u.

---

Entry 4:
DFT (PBE with a Hubbard U) results for an optimized crystal structure of TiWF2.

Structure (POSCAR):
```
TiWF2
1.0
4.5182 0.0000 0.0000
0.0000 4.5182 0.0000
2.2591 2.2591 6.5576
Ti F W
2 4 2
Cartesian
2.2591 4.5182 3.2788 Ti
2.2591 2.2591 0.0000 Ti
3.3887 4.0749 4.9182 F
5.6478 4.9616 4.9182 F
1.8157 3.3887 1.6394 F
2.7025 1.1296 1.6394 F
4.5182 2.2591 3.2788 W
0.0000 0.0000 0.0000 W
```

Properties
For the total energy, the calculation gives -5.491 eV/atom. For the energy above the lowest structure with this stoichiometry, the calculation gives 336 meV per atom. The total magnetization comes out at 3.48 μB/f.u. The density of states at the Fermi level is 2.7 states/eV/f.u.

---

Entry 5:
DFT (PBE with a Hubbard U) results for an optimized crystal structure of TiWF2.

Structure (POSCAR):
```
TiWF2
1.0
-1.7213 9.3221 -0.9877
-2.0913 9.1229 1.8000
0.4970 9.4889 0.7441
F W Ti
2 1 1
Cartesian
-3.1004 26.1209 1.4554 F
-0.2152 1.8131 0.1010 F
-1.6578 13.9670 0.7782 W
0.0000 0.0000 0.0000 Ti
```

Properties
For the total energy, the calculation gives -5.435 eV/atom. For the energy above the lowest structure with this stoichiometry, the calculation gives 393 meV per atom. The total magnetization comes out at 0.00 μB/f.u. The density of states at the Fermi level is 3.2 states/eV/f.u.

---

Entry 6:
DFT (PBE with a Hubbard U) results for an optimized crystal structure of TiWF2.

Structure (POSCAR):
```
TiWF2
1.0
-0.1469 6.6495 4.1853
1.5082 7.4200 2.1033
-1.2420 7.5467 1.8054
F Ti W
2 1 1
Cartesian
0.0121 2.1958 0.8222 F
0.1072 19.4204 7.2718 F
0.0597 10.8081 4.0470 Ti
0.0000 0.0000 0.0000 W
```

Properties
For the total energy, the calculation gives -5.827 eV/atom. For the energy above the lowest structure with this stoichiometry, the calculation gives 0 meV per atom. The total magnetization comes out at 0.00 μB/f.u. The density of states at the Fermi level is 2.3 states/eV/f.u.